VASP calculation (PBE) on crystalline RbPm4Sn4 at its relaxed geometry.

Cell lengths 10.5534, 10.5534, 6.2536 Å; angles 90.00, 90.00, 90.00 degrees
Closest atoms and distances in Å follow each position.
Positions (direct):
Rb (0.2500, 0.2500, 0.2500)  4 Sn 3.92, 4 Pm 4.26
Rb (0.7500, 0.7500, 0.7500)  4 Sn 3.92, 4 Pm 4.26
Pm (0.1193, 0.6265, 0.1425)  5 Sn 3.14-3.28
Pm (0.1265, 0.8807, 0.6425)  5 Sn 3.14-3.28
Pm (0.3735, 0.6193, 0.6425)  5 Sn 3.14-3.28
Pm (0.3807, 0.8735, 0.1425)  5 Sn 3.14-3.28
Pm (0.6193, 0.1265, 0.8575)  5 Sn 3.14-3.28
Pm (0.6265, 0.3807, 0.3575)  5 Sn 3.14-3.28
Pm (0.8735, 0.1193, 0.3575)  5 Sn 3.14-3.28
Pm (0.8807, 0.3735, 0.8575)  5 Sn 3.14-3.28
Sn (0.0731, 0.5756, 0.6533)  1 Sn 2.93, 5 Pm 3.14-3.28
Sn (0.0756, 0.9269, 0.1533)  1 Sn 2.93, 5 Pm 3.14-3.28
Sn (0.4244, 0.5731, 0.1533)  1 Sn 2.93, 5 Pm 3.14-3.28
Sn (0.4269, 0.9244, 0.6533)  1 Sn 2.93, 5 Pm 3.14-3.28
Sn (0.5731, 0.0756, 0.3467)  1 Sn 2.93, 5 Pm 3.14-3.28
Sn (0.5756, 0.4269, 0.8467)  1 Sn 2.93, 5 Pm 3.14-3.28
Sn (0.9244, 0.0731, 0.8467)  1 Sn 2.93, 5 Pm 3.14-3.28
Sn (0.9269, 0.4244, 0.3467)  1 Sn 2.93, 5 Pm 3.14-3.28

Computed properties:
ΔH_f (0 K): -458 meV/atom

=====

VASP calculation (PBE) on crystalline Be2AlRh at its relaxed geometry.

Cell lengths 2.9046, 2.9046, 5.3812 Å; angles 90.00, 90.00, 90.00 degrees
Closest atoms and distances in Å follow each position.
Positions (direct):
Be (0.0000, 0.0000, 0.0000)  4 Be 2.33, 1 Rh 2.34, 4 Al 2.55
Be (0.5000, 0.5000, 0.2032)  4 Be 2.33, 4 Rh 2.40
Al (0.5000, 0.5000, 0.7187)  6 Be 2.55-2.77, 4 Rh 2.56
Rh (0.0000, 0.0000, 0.4355)  5 Be 2.34-2.40, 4 Al 2.56

Computed properties:
ΔH_f (0 K): -400 meV/atom

=====

VASP calculation (PBE) on crystalline V2B6W at its relaxed geometry.

Cell lengths 5.2503, 5.2503, 3.1016 Å; angles 90.00, 90.00, 120.00 degrees
Closest atoms and distances in Å follow each position.
Positions (direct):
V (0.3333, 0.6667, 0.0000)  12 B 2.33
V (0.6667, 0.3333, 0.0000)  12 B 2.33
B (0.0000, 0.3369, 0.5000)  3 B 1.71-1.77
B (0.0000, 0.6631, 0.5000)  3 B 1.71-1.77
B (0.3369, 0.0000, 0.5000)  3 B 1.71-1.77
B (0.3369, 0.3369, 0.5000)  3 B 1.71-1.77
B (0.6631, 0.0000, 0.5000)  3 B 1.71-1.77
B (0.6631, 0.6631, 0.5000)  3 B 1.71-1.77
W (0.0000, 0.0000, 0.0000)  12 B 2.35

Computed properties:
ΔH_f (0 K): -533 meV/atom

=====

VASP calculation (PBE) on crystalline CrInReP at its relaxed geometry.

Cell lengths 4.1178, 4.1178, 6.4294 Å; angles 103.50, 103.50, 43.59 degrees
Closest atoms and distances in Å follow each position.
Positions (direct):
Cr (0.0000, 0.0000, 0.0000)  3 P 2.35-2.39, 3 Re 2.35-2.53
In (0.8593, 0.8593, 0.5467)  1 P 2.76, 2 Re 2.82, 1 Cr 2.84, 2 In 3.06
Re (0.3104, 0.3104, 0.1685)  3 Cr 2.35-2.53, 2 P 2.47
P (0.6787, 0.6787, 0.8682)  3 Cr 2.35-2.39, 2 Re 2.47

Computed properties:
ΔH_f (0 K): 242 meV/atom
Offset from the most stable computed form: 221 meV per atom

=====

VASP calculation (PBE) on crystalline Ti6Si2Sn at its relaxed geometry.

Cell lengths 7.3834, 7.3834, 7.3834 Å; angles 114.34, 114.11, 100.34 degrees
Closest atoms and distances in Å follow each position.
Positions (direct):
Ti (0.0397, 0.2502, 0.7895)  2 Si 2.61, 2 Sn 2.91
Ti (0.1767, 0.4705, 0.2938)  3 Si 2.50-2.64
Ti (0.1767, 0.8828, 0.7062)  3 Si 2.50-2.64
Ti (0.2961, 0.2047, 0.5007)  3 Si 2.60-2.64, 2 Sn 2.88-2.89
Ti (0.2961, 0.7953, 0.0914)  3 Si 2.60-2.64, 2 Sn 2.88-2.89
Ti (0.4606, 0.2502, 0.2105)  2 Si 2.61, 2 Sn 2.91
Ti (0.5394, 0.7498, 0.7895)  2 Si 2.61, 2 Sn 2.91
Ti (0.7039, 0.2047, 0.9086)  3 Si 2.60-2.64, 2 Sn 2.88-2.89
Ti (0.7039, 0.7953, 0.4993)  3 Si 2.60-2.64, 2 Sn 2.88-2.89
Ti (0.8233, 0.1172, 0.2938)  3 Si 2.50-2.64
Ti (0.8233, 0.5295, 0.7062)  3 Si 2.50-2.64
Ti (0.9603, 0.7498, 0.2105)  2 Si 2.61, 2 Sn 2.91
Si (0.1510, 0.5000, 0.6510)  1 Si 2.43, 8 Ti 2.61-2.64
Si (0.3751, 0.8751, 0.5000)  1 Si 2.36, 8 Ti 2.50-2.61
Si (0.6249, 0.1249, 0.5000)  1 Si 2.36, 8 Ti 2.50-2.61
Si (0.8490, 0.5000, 0.3490)  1 Si 2.43, 8 Ti 2.61-2.64
Sn (0.0000, 0.0000, 0.0000)  12 Ti 2.89-2.91
Sn (0.5000, 0.5000, 0.0000)  2 Si 2.80, 8 Ti 2.88-2.91

Computed properties:
Uncorrected formation energy: -0.4820 eV/atom

=====

VASP calculation (PBE) on crystalline Tb4Ga2Sb at its relaxed geometry.

Cell lengths 7.8571, 7.8571, 7.8571 Å; angles 109.36, 109.36, 109.70 degrees
Closest atoms and distances in Å follow each position.
Positions (direct):
Tb (0.1143, 0.5090, 0.7467)  4 Ga 2.96-3.30, 2 Sb 3.06-3.31
Tb (0.1176, 0.0122, 0.7533)  4 Ga 2.96-3.30, 2 Sb 3.06-3.31
Tb (0.2590, 0.3643, 0.2467)  4 Ga 2.96-3.30, 2 Sb 3.06-3.31
Tb (0.4910, 0.2378, 0.6053)  4 Ga 2.96-3.30, 2 Sb 3.06-3.31
Tb (0.6324, 0.8857, 0.3947)  4 Ga 2.96-3.30, 2 Sb 3.06-3.31
Tb (0.6357, 0.8824, 0.8947)  4 Ga 2.96-3.30, 2 Sb 3.06-3.31
Tb (0.7622, 0.3676, 0.2533)  4 Ga 2.96-3.30, 2 Sb 3.06-3.31
Tb (0.9878, 0.7410, 0.1053)  4 Ga 2.96-3.30, 2 Sb 3.06-3.31
Ga (0.0016, 0.1250, 0.3766)  8 Tb 2.96-3.30
Ga (0.3750, 0.9984, 0.1234)  8 Tb 2.96-3.30
Ga (0.7484, 0.6250, 0.6234)  8 Tb 2.96-3.30
Ga (0.8750, 0.2516, 0.8766)  8 Tb 2.96-3.30
Sb (0.2500, 0.7500, 0.5000)  8 Tb 3.06-3.31
Sb (0.5000, 0.5000, 0.0000)  8 Tb 3.06-3.31

Computed properties:
Uncorrected formation energy: -0.6631 eV/atom

=====

Size of the total moment in Bohr magnetons per cell, matching the order above: 0.00; 0.00; 0.00; 0.35; 0.00; 0.00